No. 1
The following is a GGA-PBE calculation of a relaxed BaHf4N6 crystal, from the Alexandria database.

* total moment: 0.0 μB/f.u.
* uncorrected formation energy: -1529 meV per atom

Cell lengths 3.244, 10.803, 17.219 Å; angles 90.00, 90.00, 90.00 degrees
Space group Cmcm (No. 63)
Asymmetric unit:
Ba1 0.000 0.151 0.250 [4 per cell]
Hf1 0.000 0.102 0.636 [8 per cell]
Hf2 0.000 0.369 0.545 [8 per cell]
N1 0.000 0.000 0.000 [4 per cell]
N2 0.000 0.153 0.750 [4 per cell]
N3 0.000 0.263 0.078 [8 per cell]
N4 0.000 0.477 0.643 [8 per cell]

No. 2
The following is a GGA-PBE calculation of a relaxed BaHfN crystal, from the Alexandria database.

* total moment: 0.0 μB/f.u.
* uncorrected formation energy: -35 meV per atom

Cell lengths 13.048, 3.458, 5.968 Å; angles 90.00, 90.00, 90.00 degrees
Space group Amm2 (No. 38)
Asymmetric unit:
Ba1 0.127 0.000 0.000 [4 per cell]
Hf1 0.395 0.000 0.348 [4 per cell]
N1 0.000 0.000 0.334 [2 per cell]
N2 0.500 0.000 0.017 [2 per cell]